No. 1
An optimized crystal structure of PaTl3I6Br2. Source: the Alexandria database, functional PBE-GGA.

Computed properties:
The raw formation energy comes out at -9.99 eV per formula unit.

```
12
Lattice="7.335 0.000 -0.210 0.000 9.405 0.000 -1.369 -4.702 8.751" Properties=species:S:1:pos:R:3 pbc="T T T"
I 5.137 7.312 1.383
I 0.830 2.609 7.158
I 4.401 4.702 6.563
I 1.565 0.000 1.979
I 5.137 2.093 1.383
I 0.830 -2.609 7.158
Tl 2.983 -2.351 4.271
Tl 2.983 2.351 4.271
Tl 0.000 4.702 0.000
Br 1.384 4.702 2.827
Br 4.583 0.000 5.714
Pa 3.668 0.000 -0.105
```



No. 2
An optimized crystal structure of CaPr2Pt. Source: the Alexandria database, functional PBE-GGA.

Computed properties:
The value obtained for the excess energy over the best structure of this formula in the dataset is 0.085 eV per atom. The formation energy is -0.476 eV/atom.

```
4
Lattice="-0.470 -1.821 3.159 2.650 -2.359 -0.966 6.574 5.651 4.235" Properties=species:S:1:pos:R:3 pbc="T T T"
Pr 5.419 4.658 3.491
Pr 1.155 0.993 0.744
Pt 1.090 -2.090 1.097
Ca 4.377 0.736 3.214
```



no.,DFT total energy (eV for the cell shown),total magnetic moment (μB per atom)
1,-39.2,0.000
2,-19.5,0.000